# 1
This record from Alexandria via LeMat-Bulk describes an optimized crystal structure of PuAlZn2Au5. The functional is PBE-GGA.

Lattice parameters (Å, degrees): 4.801 5.837 13.738 90.00 90.00 90.00
Space group Immm (No. 71)
Symmetry-distinct sites (fractional):
Pu 0.000 0.000 0.000 x2
Al 0.000 0.000 0.500 x2
Zn 0.000 0.500 0.187 x4
Au 0.000 0.260 0.347 x8
Au 0.000 0.500 0.000 x2

Summary:
Energy of formation (eV per atom): -0.149

# 2
This record from Alexandria via LeMat-Bulk describes an optimized crystal structure of Pu2Al3Zn4Au. The functional is PBE-GGA.

Lattice parameters (Å, degrees): 4.188 4.188 10.967 90.00 90.00 90.00
Space group P-4m2 (No. 115)
Symmetry-distinct sites (fractional):
Pu 0.000 0.500 0.248 x2
Al 0.000 0.500 0.867 x2
Al 0.500 0.500 0.500 x1
Zn 0.000 0.000 0.000 x1
Zn 0.000 0.500 0.643 x2
Zn 0.500 0.500 0.000 x1
Au 0.000 0.000 0.500 x1

Summary:
Energy of formation (eV per atom): -0.201

# 3
This record from Alexandria via LeMat-Bulk describes an optimized crystal structure of Pu2Al3ZnAu4. The functional is PBE-GGA.

Lattice parameters (Å, degrees): 4.370 4.370 10.670 90.00 90.00 90.00
Space group P-4m2 (No. 115)
Symmetry-distinct sites (fractional):
Pu 0.000 0.500 0.249 x2
Al 0.000 0.000 0.000 x1
Al 0.000 0.500 0.631 x2
Zn 0.500 0.500 0.000 x1
Au 0.000 0.000 0.500 x1
Au 0.000 0.500 0.864 x2
Au 0.500 0.500 0.500 x1

Summary:
Energy of formation (eV per atom): -0.448

# 4
This record from Alexandria via LeMat-Bulk describes an optimized crystal structure of PuAlZn4Au2. The functional is PBE-GGA.

Lattice parameters (Å, degrees): 4.3810 4.3810 26.7892 90.00 90.00 120.00
Space group R-3m (No. 166, hexagonal axes)
Symmetry-distinct sites (fractional):
Pu 0.0000 0.0000 0.0000 x3
Al 0.0000 0.0000 0.5000 x3
Zn 0.0000 0.0000 0.1270 x6
Zn 0.0000 0.0000 0.3968 x6
Au 0.0000 0.0000 0.2444 x6

Summary:
Energy of formation (eV per atom): -0.121

# 5
This record from Alexandria via LeMat-Bulk describes an optimized crystal structure of PuAl2Zn4Au. The functional is PBE-GGA.

Lattice parameters (Å, degrees): 4.4143 4.4143 25.6742 90.00 90.00 120.00
Space group R-3m (No. 166, hexagonal axes)
Symmetry-distinct sites (fractional):
Pu 0.0000 0.0000 0.0000 x3
Al 0.0000 0.0000 0.2602 x6
Zn 0.0000 0.0000 0.1255 x6
Zn 0.0000 0.0000 0.3955 x6
Au 0.0000 0.0000 0.5000 x3

Summary:
Energy of formation (eV per atom): -0.115

# 6
This record from Alexandria via LeMat-Bulk describes an optimized crystal structure of PuAlZnAu2. The functional is PBE-GGA.

Lattice parameters (Å, degrees): 4.144 4.144 11.977 90.00 90.00 90.00
Space group I-4m2 (No. 119)
Symmetry-distinct sites (fractional):
Pu 0.000 0.000 0.000 x2
Al 0.000 0.500 0.250 x2
Zn 0.000 0.500 0.750 x2
Au 0.000 0.000 0.384 x4

Summary:
Energy of formation (eV per atom): -0.398

# 7
This record from Alexandria via LeMat-Bulk describes an optimized crystal structure of Pu2AlZn4Au3. The functional is PBE-GGA.

Lattice parameters (Å, degrees): 4.079 4.079 11.965 90.00 90.00 90.00
Space group P-4m2 (No. 115)
Symmetry-distinct sites (fractional):
Pu 0.000 0.500 0.247 x2
Al 0.500 0.500 0.000 x1
Zn 0.000 0.000 0.500 x1
Zn 0.000 0.500 0.861 x2
Zn 0.500 0.500 0.500 x1
Au 0.000 0.000 0.000 x1
Au 0.000 0.500 0.645 x2

Summary:
Energy of formation (eV per atom): -0.301

# 8
This record from Alexandria via LeMat-Bulk describes an optimized crystal structure of PuAl2Zn2Au2. The functional is PBE-GGA.

Lattice parameters (Å, degrees): 4.3920 4.3920 24.0946 90.00 90.00 120.00
Space group R-3m (No. 166, hexagonal axes)
Symmetry-distinct sites (fractional):
Pu 0.0000 0.0000 0.0000 x3
Al 0.0000 0.0000 0.1339 x6
Zn 0.0000 0.0000 0.2597 x6
Au 0.0000 0.0000 0.4322 x6

Summary:
Energy of formation (eV per atom): -0.206

# 9
This record from Alexandria via LeMat-Bulk describes an optimized crystal structure of Rb3Al2Au3. The functional is PBE-GGA.

Lattice parameters (Å, degrees): 4.727 13.627 16.222 90.00 90.00 90.00
Space group Cmcm (No. 63)
Symmetry-distinct sites (fractional):
Rb 0.000 0.068 0.105 x8
Rb 0.000 0.389 0.250 x4
Al 0.000 0.225 0.599 x8
Au 0.000 0.291 0.750 x4
Au 0.000 0.316 0.045 x8

Summary:
Energy of formation (eV per atom): -0.244

# 10
This record from Alexandria via LeMat-Bulk describes an optimized crystal structure of RbAlAu. The functional is PBE-GGA.

Lattice parameters (Å, degrees): 4.670 4.670 8.233 90.00 90.00 90.00
Space group P4/nmm (No. 129, origin choice 2)
Symmetry-distinct sites (fractional):
Rb 0.250 0.250 0.148 x2
Al 0.250 0.750 0.500 x2
Au 0.250 0.250 0.642 x2

Summary:
Energy above the most stable polymorph in this dataset (meV per atom): 0
Energy of formation (eV per atom): -0.279

# 11
This record from Alexandria via LeMat-Bulk describes an optimized crystal structure of Rb2Al12Au7. The functional is PBE-GGA.

Lattice parameters (Å, degrees): 10.6589 10.6589 4.2597 90.00 90.00 120.00
Space group P-3 (No. 147)
Symmetry-distinct sites (fractional):
Rb 0.3333 0.6667 0.2531 x2
Al 0.0552 0.4340 0.7465 x6
Al 0.1246 0.2659 0.2626 x6
Au 0.0000 0.0000 0.5000 x1
Au 0.1044 0.7082 0.7614 x6

Summary:
Energy of formation (eV per atom): -0.287

# 12
This record from Alexandria via LeMat-Bulk describes an optimized crystal structure of RbAl2Au. The functional is PBE-GGA.

Lattice parameters (Å, degrees): 5.772 5.772 16.064 90.00 90.00 90.00
Space group I4_1/amd (No. 141, origin choice 2)
Symmetry-distinct sites (fractional):
Rb 0.000 0.250 0.375 x4
Al 0.000 0.000 0.000 x8
Au 0.000 0.250 0.875 x4

Summary:
Energy of formation (eV per atom): 0.035

# 13
This record from Alexandria via LeMat-Bulk describes an optimized crystal structure of RbAlAu. The functional is PBE-GGA.

Lattice parameters (Å, degrees): 3.669 3.669 12.871 90.00 90.00 90.00
Space group I4mm (No. 107)
Symmetry-distinct sites (fractional):
Rb 0.000 0.000 0.000 x2
Al 0.000 0.000 0.729 x2
Au 0.000 0.000 0.274 x2

Summary:
Energy above the most stable polymorph in this dataset (meV per atom): 159
Energy of formation (eV per atom): -0.121

# 14
This record from Alexandria via LeMat-Bulk describes an optimized crystal structure of Rb2AlAu5. The functional is PBE-GGA.

Lattice parameters (Å, degrees): 6.118 6.550 7.098 117.31 115.34 90.27
Space group P1 (No. 1)
Symmetry-distinct sites (fractional):
Rb 0.000 0.000 0.000 x1
Rb 0.485 0.485 0.970 x1
Al 0.666 0.165 0.331 x1
Au 0.002 0.517 0.482 x1
Au 0.002 0.964 0.481 x1
Au 0.429 0.929 0.859 x1
Au 0.479 0.963 0.481 x1
Au 0.480 0.516 0.481 x1

Summary:
Energy of formation (eV per atom): -0.254

# 15
This record from Alexandria via LeMat-Bulk describes an optimized crystal structure of Rb3Al2Au4. The functional is PBE-GGA.

Lattice parameters (Å, degrees): 13.168 4.494 9.612 90.00 110.05 90.00
Space group C2/m (No. 12)
Symmetry-distinct sites (fractional):
Rb 0.000 0.000 0.000 x2
Rb 0.127 0.500 0.378 x4
Al 0.176 0.500 0.790 x4
Au 0.085 0.000 0.638 x4
Au 0.242 0.500 0.086 x4

Summary:
Energy of formation (eV per atom): -0.283

# 16
This record from Alexandria via LeMat-Bulk describes an optimized crystal structure of RbAl2Au. The functional is PBE-GGA.

Lattice parameters (Å, degrees): 7.107 7.107 7.107 90.00 90.00 90.00
Space group Fm-3m (No. 225)
Symmetry-distinct sites (fractional):
Rb 0.000 0.000 0.000 x4
Al 0.250 0.250 0.250 x8
Au 0.000 0.000 0.500 x4

Summary:
Energy of formation (eV per atom): 0.382

# 17
This record from Alexandria via LeMat-Bulk describes an optimized crystal structure of RbAl2Au. The functional is PBE-GGA.

Lattice parameters (Å, degrees): 4.4611 4.4611 20.0630 90.00 90.00 120.00
Space group R-3m (No. 166, hexagonal axes)
Symmetry-distinct sites (fractional):
Rb 0.0000 0.0000 0.0000 x3
Al 0.0000 0.0000 0.1907 x6
Au 0.0000 0.0000 0.5000 x3

Summary:
Energy of formation (eV per atom): -0.204

# 18
This record from Alexandria via LeMat-Bulk describes an optimized crystal structure of RbAl3Au6. The functional is PBE-GGA.

Lattice parameters (Å, degrees): 7.329 7.181 9.209 90.00 122.81 90.00
Space group P2_1/c (No. 14)
Symmetry-distinct sites (fractional):
Rb 0.000 0.000 0.000 x2
Al 0.261 0.164 0.418 x4
Al 0.500 0.000 0.000 x2
Au 0.128 0.028 0.693 x4
Au 0.272 0.689 0.903 x4
Au 0.462 0.211 0.232 x4

Summary:
Energy of formation (eV per atom): -0.220

# 19
This record from Alexandria via LeMat-Bulk describes an optimized crystal structure of RbAlAu. The functional is PBE-GGA.

Lattice parameters (Å, degrees): 4.3613 4.3613 5.9413 90.00 90.00 120.00
Space group P-6m2 (No. 187)
Symmetry-distinct sites (fractional):
Rb 0.0000 0.0000 0.0000 x1
Al 0.3333 0.6667 0.5000 x1
Au 0.6667 0.3333 0.5000 x1

Summary:
Energy above the most stable polymorph in this dataset (meV per atom): 109
Energy of formation (eV per atom): -0.171

# 20
This record from Alexandria via LeMat-Bulk describes an optimized crystal structure of RbAl2Au3. The functional is PBE-GGA.

Lattice parameters (Å, degrees): 11.593 8.272 5.666 90.00 90.00 90.00
Space group Cmcm (No. 63)
Symmetry-distinct sites (fractional):
Rb 0.000 0.142 0.250 x4
Al 0.189 0.500 0.000 x8
Au 0.000 0.427 0.750 x4
Au 0.207 0.218 0.750 x8

Summary:
Energy of formation (eV per atom): -0.444

# 21
This record from Alexandria via LeMat-Bulk describes an optimized crystal structure of Rb2AlAu. The functional is PBE-GGA.

Lattice parameters (Å, degrees): 13.125 13.125 4.903 90.00 90.00 90.00
Space group I-42d (No. 122)
Symmetry-distinct sites (fractional):
Rb 0.069 0.250 0.125 x8
Al 0.000 0.000 0.500 x4
Au 0.000 0.000 0.000 x4

Summary:
Energy of formation (eV per atom): -0.050

# 22
This record from Alexandria via LeMat-Bulk describes an optimized crystal structure of Rb2AlSbAu6. The functional is PBE-GGA.

Lattice parameters (Å, degrees): 7.055 7.058 7.479 117.91 90.17 119.81
Space group P-1 (No. 2)
Symmetry-distinct sites (fractional):
Rb 0.206 0.414 0.121 x2
Al 0.000 0.000 0.500 x1
Sb 0.500 0.000 0.000 x1
Au 0.240 0.480 0.634 x2
Au 0.241 0.893 0.632 x2
Au 0.349 0.112 0.368 x2

Summary:
Energy relative to the elements, uncorrected (eV/f.u.): -2.849

# 23
This record from Alexandria via LeMat-Bulk describes an optimized crystal structure of RbAlAuSe3. The functional is PBE-GGA.

Lattice parameters (Å, degrees): 16.710 6.460 8.686 90.00 119.46 90.00
Space group C2/m (No. 12)
Symmetry-distinct sites (fractional):
Rb 0.202 0.000 0.247 x4
Al 0.052 0.500 0.896 x4
Au 0.000 0.236 0.500 x4
Se 0.110 0.500 0.213 x4
Se 0.125 0.238 0.806 x8

Summary:
Energy relative to the elements, uncorrected (eV/f.u.): -4.346